No. 1
Material: LiPm12Pb7
Method: DFT, PBE
State: optimized geometry

Calculated values
DFT formation energy, eV per atom: -0.29
N(E_F), states/eV/atom: 1.0966
V, Å³/atom: 31.7
Uncorrected energy, eV for the cell shown: -90.589

Cell lengths 9.191, 9.191, 9.191 Å; angles 107.70, 107.70, 107.70 degrees
Positions (direct):
Li (0.000, 0.000, 0.000)
Pm (0.032, 0.348, 0.254)
Pm (0.213, 0.385, 0.670)
Pm (0.254, 0.032, 0.348)
Pm (0.330, 0.787, 0.615)
Pm (0.348, 0.254, 0.032)
Pm (0.385, 0.670, 0.213)
Pm (0.615, 0.330, 0.787)
Pm (0.652, 0.746, 0.968)
Pm (0.670, 0.213, 0.385)
Pm (0.746, 0.968, 0.652)
Pm (0.787, 0.615, 0.330)
Pm (0.968, 0.652, 0.746)
Pb (0.018, 0.350, 0.894)
Pb (0.106, 0.982, 0.650)
Pb (0.350, 0.894, 0.018)
Pb (0.500, 0.500, 0.500)
Pb (0.650, 0.106, 0.982)
Pb (0.894, 0.018, 0.350)
Pb (0.982, 0.650, 0.106)

---

No. 2
Material: Li3Pm2Pb2
Method: DFT, PBE
State: optimized geometry

Calculated values
DFT formation energy, eV per atom: -0.38
N(E_F), states/eV/atom: 0.5270
V, Å³/atom: 24.9
Uncorrected energy, eV for the cell shown: -25.321

Cell lengths 5.987, 5.987, 6.677 Å; angles 102.18, 102.18, 48.47 degrees
Positions (direct):
Li (0.000, 0.000, 0.000)
Li (0.107, 0.107, 0.429)
Li (0.893, 0.893, 0.571)
Pm (0.353, 0.353, 0.240)
Pm (0.647, 0.647, 0.760)
Pb (0.345, 0.345, 0.751)
Pb (0.655, 0.655, 0.249)

---

No. 3
Material: Li2PmPb4
Method: DFT, PBE
State: optimized geometry

Calculated values
DFT formation energy, eV per atom: 0.05
N(E_F), states/eV/atom: 0.8741
V, Å³/atom: 32.2
Uncorrected energy, eV for the cell shown: -23.090

Cell lengths 7.571, 7.571, 7.571 Å; angles 133.37, 133.37, 68.07 degrees
Positions (direct):
Li (0.133, 0.133, 0.000)
Li (0.867, 0.867, 0.000)
Pm (0.500, 0.500, 0.000)
Pb (0.000, 0.500, 0.500)
Pb (0.250, 0.750, 0.500)
Pb (0.500, 0.000, 0.500)
Pb (0.750, 0.250, 0.500)

---

No. 4
Material: Li6PmPb4
Method: DFT, PBE
State: optimized geometry

Calculated values
DFT formation energy, eV per atom: -0.26
N(E_F), states/eV/atom: 0.4875
V, Å³/atom: 22.2
Uncorrected energy, eV for the cell shown: -33.908

Cell lengths 7.849, 7.849, 4.585 Å; angles 90.00, 90.00, 120.00 degrees
Positions (direct):
Li (0.204, 0.407, 0.000)
Li (0.204, 0.796, 0.000)
Li (0.237, 0.119, 0.500)
Li (0.593, 0.796, 0.000)
Li (0.881, 0.119, 0.500)
Li (0.881, 0.763, 0.500)
Pm (0.667, 0.333, 0.000)
Pb (0.000, 0.000, 0.000)
Pb (0.047, 0.524, 0.500)
Pb (0.476, 0.524, 0.500)
Pb (0.476, 0.953, 0.500)

---

No. 5
Material: LiPmPb
Method: DFT, PBE
State: optimized geometry

Calculated values
DFT formation energy, eV per atom: -0.34
ΔE to the lowest computed polymorph, meV per atom: 191
V, Å³/atom: 31.0
Uncorrected energy, eV for the cell shown: -11.400

Cell lengths 5.084, 5.084, 5.084 Å; angles 60.00, 60.00, 60.00 degrees
Positions (direct):
Li (0.000, 0.000, 0.000)
Pm (0.500, 0.500, 0.500)
Pb (0.750, 0.750, 0.750)

---

No. 6
Material: LiPm7Pb4
Method: DFT, PBE
State: optimized geometry

Calculated values
DFT formation energy, eV per atom: -0.19
N(E_F), states/eV/atom: 1.0221
V, Å³/atom: 33.1
Uncorrected energy, eV for the cell shown: -52.304

Cell lengths 8.242, 8.242, 11.483 Å; angles 124.91, 124.91, 39.87 degrees
Positions (direct):
Li (0.000, 0.000, 0.000)
Pm (0.081, 0.081, 0.322)
Pm (0.209, 0.209, 0.866)
Pm (0.351, 0.351, 0.425)
Pm (0.500, 0.500, 0.000)
Pm (0.649, 0.649, 0.575)
Pm (0.791, 0.791, 0.134)
Pm (0.919, 0.919, 0.678)
Pb (0.286, 0.286, 0.665)
Pb (0.424, 0.424, 0.216)
Pb (0.576, 0.576, 0.784)
Pb (0.714, 0.714, 0.335)

---

No. 7
Material: LiPm2Pb9
Method: DFT, PBE
State: optimized geometry

Calculated values
DFT formation energy, eV per atom: -0.28
N(E_F), states/eV/atom: 0.3256
V, Å³/atom: 29.2
Uncorrected energy, eV for the cell shown: -48.170

Cell lengths 4.856, 4.856, 14.874 Å; angles 90.00, 90.00, 90.00 degrees
Positions (direct):
Li (0.000, 0.000, 0.000)
Pm (0.000, 0.000, 0.336)
Pm (0.000, 0.000, 0.664)
Pb (0.000, 0.500, 0.159)
Pb (0.000, 0.500, 0.500)
Pb (0.000, 0.500, 0.841)
Pb (0.500, 0.000, 0.159)
Pb (0.500, 0.000, 0.500)
Pb (0.500, 0.000, 0.841)
Pb (0.500, 0.500, 0.000)
Pb (0.500, 0.500, 0.328)
Pb (0.500, 0.500, 0.672)

---

No. 8
Material: LiPm3Pb5
Method: DFT, PBE
State: optimized geometry

Calculated values
DFT formation energy, eV per atom: -0.40
N(E_F), states/eV/atom: 0.5572
V, Å³/atom: 28.4
Uncorrected energy, eV for the cell shown: -76.660

Cell lengths 9.539, 9.539, 6.493 Å; angles 90.00, 90.00, 120.00 degrees
Positions (direct):
Li (0.000, 0.000, 0.000)
Li (0.000, 0.000, 0.500)
Pm (0.000, 0.381, 0.250)
Pm (0.000, 0.619, 0.750)
Pm (0.381, 0.000, 0.250)
Pm (0.381, 0.381, 0.750)
Pm (0.619, 0.000, 0.750)
Pm (0.619, 0.619, 0.250)
Pb (0.000, 0.269, 0.750)
Pb (0.000, 0.731, 0.250)
Pb (0.269, 0.000, 0.750)
Pb (0.269, 0.269, 0.250)
Pb (0.333, 0.667, 0.000)
Pb (0.333, 0.667, 0.500)
Pb (0.667, 0.333, 0.000)
Pb (0.667, 0.333, 0.500)
Pb (0.731, 0.000, 0.250)
Pb (0.731, 0.731, 0.750)

---

No. 9
Material: Li2PmPb3
Method: DFT, PBE
State: optimized geometry

Calculated values
DFT formation energy, eV per atom: -0.35
N(E_F), states/eV/atom: 0.3777
V, Å³/atom: 25.1
Uncorrected energy, eV for the cell shown: -21.774

Cell lengths 3.610, 3.610, 11.534 Å; angles 90.00, 90.00, 90.00 degrees
Positions (direct):
Li (0.000, 0.000, 0.152)
Li (0.000, 0.000, 0.848)
Pm (0.000, 0.000, 0.500)
Pb (0.500, 0.500, 0.000)
Pb (0.500, 0.500, 0.303)
Pb (0.500, 0.500, 0.697)

---

No. 10
Material: Li4PmPb5
Method: DFT, PBE
State: optimized geometry

Calculated values
DFT formation energy, eV per atom: -0.31
N(E_F), states/eV/atom: 0.4737
V, Å³/atom: 24.1
Uncorrected energy, eV for the cell shown: -34.034

Cell lengths 3.596, 3.596, 18.649 Å; angles 90.00, 90.00, 90.00 degrees
Positions (direct):
Li (0.000, 0.000, 0.093)
Li (0.000, 0.000, 0.284)
Li (0.000, 0.000, 0.716)
Li (0.000, 0.000, 0.907)
Pm (0.000, 0.000, 0.500)
Pb (0.500, 0.500, 0.000)
Pb (0.500, 0.500, 0.188)
Pb (0.500, 0.500, 0.377)
Pb (0.500, 0.500, 0.623)
Pb (0.500, 0.500, 0.812)

---

No. 11
Material: LiPmPb6
Method: DFT, PBE
State: optimized geometry

Calculated values
DFT formation energy, eV per atom: -0.23
N(E_F), states/eV/atom: 0.3607
V, Å³/atom: 29.0
Uncorrected energy, eV for the cell shown: -30.781

Cell lengths 4.842, 4.842, 9.911 Å; angles 90.00, 90.00, 90.00 degrees
Positions (direct):
Li (0.000, 0.000, 0.000)
Pm (0.000, 0.000, 0.500)
Pb (0.000, 0.500, 0.241)
Pb (0.000, 0.500, 0.759)
Pb (0.500, 0.000, 0.241)
Pb (0.500, 0.000, 0.759)
Pb (0.500, 0.500, 0.000)
Pb (0.500, 0.500, 0.500)

---

No. 12
Material: LiPm6Pb12
Method: DFT, PBE
State: optimized geometry

Calculated values
DFT formation energy, eV per atom: -0.33
N(E_F), states/eV/atom: 0.7346
V, Å³/atom: 30.1
Uncorrected energy, eV for the cell shown: -81.264

Cell lengths 9.367, 9.367, 9.367 Å; angles 111.77, 111.77, 111.77 degrees
Positions (direct):
Li (0.000, 0.000, 0.000)
Pm (0.075, 0.561, 0.357)
Pm (0.357, 0.075, 0.561)
Pm (0.439, 0.643, 0.925)
Pm (0.561, 0.357, 0.075)
Pm (0.643, 0.925, 0.439)
Pm (0.925, 0.439, 0.643)
Pb (0.108, 0.189, 0.724)
Pb (0.189, 0.724, 0.108)
Pb (0.193, 0.305, 0.454)
Pb (0.276, 0.892, 0.811)
Pb (0.305, 0.454, 0.193)
Pb (0.454, 0.193, 0.305)
Pb (0.546, 0.807, 0.695)
Pb (0.695, 0.546, 0.807)
Pb (0.724, 0.108, 0.189)
Pb (0.807, 0.695, 0.546)
Pb (0.811, 0.276, 0.892)
Pb (0.892, 0.811, 0.276)